No. 1
DFT (PBE) results for crystalline TbHoIn at its relaxed geometry.

a = 3.6222 Å, b = 5.2260 Å, c = 5.2260 Å
α = 120.00°, β = 90.00°, γ = 90.00°
Positions (direct):
Tb  0.3806  0.3333  0.6667
In  0.6820  0.6667  0.3333
Ho  0.9374  0.0000  0.0000

Calculated values
E_tot = -12.6 eV per cell
ΔE_f = -229 meV/atom
Space-group type = P3m1



No. 2
DFT (PBE) results for crystalline Cs3Cu2Br5 at its relaxed geometry.

a = 9.8625 Å, b = 11.1626 Å, c = 13.8966 Å
α = 90.00°, β = 90.00°, γ = 90.00°
Positions (direct):
Br  0.1913  0.9364  0.9460
Cs  0.0461  0.5136  0.6769
Br  0.8087  0.4364  0.0540
Cs  0.0969  0.2500  0.9548
Br  0.3287  0.7500  0.7095
Cu  0.2515  0.2500  0.3699
Br  0.9681  0.2500  0.5126
Br  0.2033  0.7500  0.2071
Cs  0.4031  0.7500  0.4548
Cs  0.9539  0.0136  0.3231
Cs  0.5461  0.9864  0.8231
Br  0.1913  0.5636  0.9460
Br  0.6913  0.9364  0.5540
Cu  0.7072  0.2500  0.9525
Br  0.3087  0.4364  0.4460
Cs  0.9031  0.7500  0.0452
Br  0.7033  0.7500  0.2929
Cs  0.0461  0.9864  0.6769
Cs  0.5969  0.2500  0.5452
Br  0.0319  0.7500  0.4874
Br  0.3087  0.0636  0.4460
Br  0.1713  0.2500  0.2095
Br  0.5319  0.7500  0.0126
Cu  0.7515  0.2500  0.1301
Br  0.6713  0.2500  0.2905
Cs  0.4539  0.4864  0.1769
Br  0.8287  0.7500  0.7905
Br  0.4681  0.2500  0.9874
Br  0.2967  0.2500  0.7071
Cu  0.7485  0.7500  0.6301
Br  0.8087  0.0636  0.0540
Cu  0.7928  0.7500  0.4525
Cs  0.9539  0.4864  0.3231
Cs  0.4539  0.0136  0.1769
Cu  0.2928  0.7500  0.0475
Cu  0.2485  0.7500  0.8699
Br  0.6913  0.5636  0.5540
Cu  0.2072  0.2500  0.5475
Cs  0.5461  0.5136  0.8231
Br  0.7967  0.2500  0.7929

Calculated values
E_tot = -124.7 eV per cell
Uncorrected formation energy = -1.20 eV per atom
Space-group type = Pnma



Q: Which formula does entry 2 have?
A: Cs3Cu2Br5



Q: Among the records above, which one has the highest E_tot?
A: TbHoIn



Q: Number 2 is which compound?
A: Cs3Cu2Br5



Q: The highest E_tot belongs to which entry?
A: TbHoIn